Here is a relaxed structure of Sr2Li17Tl3 from Alexandria via LeMat-Bulk. Energies are from PBE-GGA.

Properties
- ΔH_f (0 K): -23 meV/atom
- M_tot: 0.00 μB per cell
- Raw total energy: -1.98 eV/atom

Cell: 11.0861 11.0861 15.3031 Å, 90.00 90.00 120.00°
With the nearest neighbours (Å) after each atom.
Space group R-3m (No. 166, hexagonal axes)
Symmetry-distinct sites (fractional):
Sr: 0.0000 0.0000 0.1782 (multiplicity 6)  3 Tl 3.21, 1 Li 3.53
Li: 0.0000 0.0000 0.4089 (multiplicity 6)  1 Li 2.79
Li: 0.0000 0.2553 0.5000 (multiplicity 18)  1 Tl 2.71, 6 Li 2.83-3.01
Li: 0.0000 0.5000 0.0000 (multiplicity 9)  8 Li 3.01-3.31
Li: 0.0202 0.5101 0.6805 (multiplicity 18)  1 Tl 2.77, 4 Li 2.89-3.04
Tl: 0.0000 0.5000 0.5000 (multiplicity 9)  4 Li 2.71-2.77